Entry 1:
Material: Y2Al3CdAu4
Method: DFT, PBE
State: relaxed

a = 4.3542 Å, b = 4.3542 Å, c = 10.9149 Å
α = 90.00°, β = 90.00°, γ = 90.00°
With the nearest neighbours (Å) after each atom.
Space group P-4m2 (No. 115)
Asymmetric unit:
Y: 0.0000 0.5000 0.2432 (multiplicity 2)  8 Au 3.29-3.43, 6 Al 3.34-3.55, 2 Cd 3.55
Al: 0.0000 0.5000 0.8746 (multiplicity 2)  5 Au 2.44-2.57
Al: 0.5000 0.5000 0.5000 (multiplicity 1)  4 Au 2.73
Cd: 0.0000 0.0000 0.5000 (multiplicity 1)  4 Au 2.73
Au: 0.0000 0.0000 0.0000 (multiplicity 1)  4 Al 2.57
Au: 0.0000 0.5000 0.6506 (multiplicity 2)  3 Al 2.44-2.73, 2 Cd 2.73
Au: 0.5000 0.5000 0.0000 (multiplicity 1)  4 Al 2.57

Values from the calculation:
formation enthalpy at 0 K	-6.176	eV per formula unit

=====

Entry 2:
Material: LiHCl
Method: DFT, PBE
State: relaxed

a = 3.8743 Å, b = 5.0135 Å, c = 4.1552 Å
α = 90.00°, β = 90.00°, γ = 90.00°
With the nearest neighbours (Å) after each atom.
Space group Imm2 (No. 44)
Asymmetric unit:
Li: 0.0000 0.0000 0.0000 (multiplicity 2)  2 H 2.02
H: 0.0000 0.5000 0.6351 (multiplicity 2)  2 Li 2.02, 2 Cl 2.03-2.12
Cl: 0.0000 0.5000 0.1243 (multiplicity 2)  2 H 2.03-2.12

Values from the calculation:
distance to the lowest polymorph of the same formula	475	meV per atom

=====

Entry 3:
Material: Dy2Mn2Zn15
Method: DFT, PBE
State: relaxed

a = 8.9487 Å, b = 8.9487 Å, c = 13.1761 Å
α = 90.00°, β = 90.00°, γ = 120.00°
With the nearest neighbours (Å) after each atom.
Space group R-3m (No. 166, hexagonal axes)
Asymmetric unit:
Dy: 0.0000 0.0000 0.1640 (multiplicity 6)  1 Mn 3.11, 15 Zn 3.19-3.41
Mn: 0.0000 0.0000 0.4004 (multiplicity 6)  1 Mn 2.62, 12 Zn 2.73-2.89
Zn: 0.0000 0.2878 0.5000 (multiplicity 18)  8 Zn 2.57-2.78
Zn: 0.0000 0.5000 0.0000 (multiplicity 9)  8 Zn 2.57-2.61, 2 Mn 2.73
Zn: 0.0049 0.5024 0.6486 (multiplicity 18)  8 Zn 2.59-2.78, 1 Mn 2.85

Values from the calculation:
formation enthalpy at 0 K	-3.090	eV per formula unit

=====

| no. | M_tot (μB/atom) | calculated density (g/cm3) |
| --- | --- | --- |
| 1 | 0.000 | 9.3 |
| 2 | 0.026 | 1.8 |
| 3 | 0.373 | 7.7 |